{"formula": "Na2TlSb2Pb2", "functional": "PBE", "state": "relaxed", "crystal_system": "trigonal", "formation_energy_uncorrected_kj_per_mol_fu": 14, "n_ef_per_ev_cell": 2.9, "lattice_angstrom": [[-2.049, 5.030, -0.629], [-1.874, -4.119, -3.069], [-6.492, -1.841, 6.433]], "species": ["Pb", "Pb", "Tl", "Sb", "Sb", "Na", "Na"], "frac_coords": [[0.667, 0.333, 0.611], [0.333, 0.667, 0.389], [0.000, 0.000, 0.000], [0.333, 0.667, 0.741], [0.667, 0.333, 0.259], [0.000, 0.000, 0.327], [0.000, 0.000, 0.673]]}